Material: MnCdClO2
Method: DFT, GGA+U
State: relaxed

Properties
Total energy = -53.0 eV per cell

a = 6.3190 Å, b = 3.7407 Å, c = 8.0382 Å
α = 90.00°, β = 101.13°, γ = 90.00°
Space group P2_1/m (No. 11)
Unique sites:
Mn (0.0006, 0.2500, 0.3597) x2
Cd (0.2347, 0.7500, 0.0794) x2
Cl (0.4129, 0.7500, 0.8033) x2
O (0.0619, 0.7500, 0.4097) x2
O (0.0779, 0.2500, 0.1450) x2